Here is LaPmLuAl after structural relaxation from Alexandria. Energies are from PBE. Values from VASP.

Output
The energy is -4.57 eV per atom. Its space-group type is F-43m. The formation energy is -0.084 eV per atom.

The structure in Quantum ESPRESSO input format:
```
&SYSTEM
  ibrav = 0, nat = 4, ntyp = 4
/
ATOMIC_SPECIES
Lu 174.97 Lu.upf
La 138.91 La.upf
Al 26.98 Al.upf
Pm 145.00 Pm.upf
ATOMIC_POSITIONS crystal
Lu 0.7500 0.7500 0.7500
La 0.5000 0.5000 0.5000
Al 0.2500 0.2500 0.2500
Pm 0.0000 0.0000 0.0000
CELL_PARAMETERS angstrom
5.4559 0.0000 0.0000
2.7279 4.7249 0.0000
2.7279 1.5750 4.4547
```

Here is Ho2ThScSb4 after structural relaxation from Alexandria. Energies are from PBE. Values from VASP.

Output
The energy is -5.93 eV per atom. Its uncorrected formation energy is -1.009 eV/atom. Its space-group type is P2/m.

The structure in Quantum ESPRESSO input format:
```
&SYSTEM
  ibrav = 0, nat = 8, ntyp = 4
/
ATOMIC_SPECIES
Th 232.04 Th.upf
Sb 121.76 Sb.upf
Ho 164.93 Ho.upf
Sc 44.96 Sc.upf
ATOMIC_POSITIONS crystal
Th 0.5000 0.5000 0.0000
Sb 0.5000 0.7448 0.2621
Sb 0.5000 0.2552 0.7379
Sb 0.0000 0.7531 0.7381
Sb 0.0000 0.2469 0.2619
Ho 0.0000 0.0000 0.0000
Ho 0.5000 0.0000 0.5000
Sc 0.0000 0.5000 0.5000
CELL_PARAMETERS angstrom
-3.9870 1.6370 -0.7550
-2.8755 -4.5501 5.3190
0.1744 3.5006 6.6686
```

Here is Ce4CdGa12 after structural relaxation from Alexandria. Energies are from PBE. Values from VASP.

Output
The energy is -4.09 eV per atom. Its space-group type is Im-3m. The formation energy is -0.502 eV per atom.

The structure in Quantum ESPRESSO input format:
```
&SYSTEM
  ibrav = 0, nat = 17, ntyp = 3
/
ATOMIC_SPECIES
Ga 69.72 Ga.upf
Ce 140.12 Ce.upf
Cd 112.41 Cd.upf
ATOMIC_POSITIONS crystal
Ga 0.7500 0.2500 0.5000
Ga 0.6851 0.0000 0.6851
Ga 0.3149 0.3149 0.0000
Ga 0.5000 0.2500 0.7500
Ga 0.2500 0.5000 0.7500
Ga 0.5000 0.7500 0.2500
Ga 0.2500 0.7500 0.5000
Ga 0.0000 0.3149 0.3149
Ga 0.6851 0.6851 0.0000
Ga 0.7500 0.5000 0.2500
Ga 0.0000 0.6851 0.6851
Ga 0.3149 0.0000 0.3149
Ce 0.5000 0.0000 0.0000
Ce 0.0000 0.5000 0.0000
Ce 0.0000 0.0000 0.5000
Ce 0.5000 0.5000 0.5000
Cd 0.0000 0.0000 0.0000
CELL_PARAMETERS angstrom
-4.0617 -6.2799 1.6871
7.0585 -2.0349 -2.1948
0.4463 4.4955 6.1944
```

Here is CaTb2Pt after structural relaxation from Alexandria. Energies are from PBE. Values from VASP.

Output
The energy is -4.89 eV per atom. Its space-group type is R3m. The formation energy is -0.567 eV per atom. For the energy above the lowest structure with this stoichiometry, the calculation gives 0.000 eV/atom.

The structure in Quantum ESPRESSO input format:
```
&SYSTEM
  ibrav = 0, nat = 4, ntyp = 3
/
ATOMIC_SPECIES
Tb 158.93 Tb.upf
Ca 40.08 Ca.upf
Pt 195.08 Pt.upf
ATOMIC_POSITIONS crystal
Tb 0.0533 0.0533 0.8400
Tb 0.2793 0.2793 0.1622
Ca 0.5012 0.5012 0.4963
Pt 0.6662 0.6662 0.0015
CELL_PARAMETERS angstrom
-3.5225 -1.6419 1.4058
-0.0104 -2.1649 3.5204
-2.8698 6.3886 6.3461
```

Here is Ba2SrCa after structural relaxation from Alexandria. Energies are from PBE. Values from VASP.

Output
The energy is -1.86 eV per atom. Its space-group type is Pmmm. The formation energy is 0.023 eV per atom. For the energy above the lowest structure with this stoichiometry, the calculation gives 0.004 eV/atom.

The structure in Quantum ESPRESSO input format:
```
&SYSTEM
  ibrav = 0, nat = 4, ntyp = 3
/
ATOMIC_SPECIES
Ca 40.08 Ca.upf
Ba 137.33 Ba.upf
Sr 87.62 Sr.upf
ATOMIC_POSITIONS crystal
Ca 0.5000 0.0000 0.5000
Ba 0.5000 0.5000 0.0000
Ba 0.0000 0.0000 0.0000
Sr 0.0000 0.5000 0.5000
CELL_PARAMETERS angstrom
-4.7092 0.1887 1.3129
0.3650 -6.3052 2.2155
1.7761 2.2288 6.0504
```

Here is TePb3 after structural relaxation from Alexandria. Energies are from PBE. Values from VASP.

Output
The energy is -3.63 eV per atom. Its uncorrected formation energy is -0.064 eV/atom. Its space-group type is Cmmm. For the energy above the lowest structure with this stoichiometry, the calculation gives 0.001 eV/atom.

The structure in Quantum ESPRESSO input format:
```
&SYSTEM
  ibrav = 0, nat = 4, ntyp = 2
/
ATOMIC_SPECIES
Pb 207.20 Pb.upf
Te 127.60 Te.upf
ATOMIC_POSITIONS crystal
Pb 0.5000 0.0000 0.5000
Pb 0.5000 0.5000 0.0000
Pb 0.0000 0.5000 0.5000
Te 0.0000 0.0000 0.0000
CELL_PARAMETERS angstrom
-3.4421 1.6522 -4.2243
3.3217 -3.9214 -2.4517
-2.6233 -2.8593 1.0192
```

Here is Tb4As2C after structural relaxation from Alexandria. Energies are from PBE. Values from VASP.

Output
The energy is -6.15 eV per atom. Its space-group type is C2/m. The formation energy is -0.859 eV per atom.

The structure in Quantum ESPRESSO input format:
```
&SYSTEM
  ibrav = 0, nat = 7, ntyp = 3
/
ATOMIC_SPECIES
C 12.01 C.upf
Tb 158.93 Tb.upf
As 74.92 As.upf
ATOMIC_POSITIONS crystal
C 0.0000 0.0000 0.0000
Tb 0.0654 0.7808 0.1309
Tb 0.9346 0.2192 0.8691
Tb 0.3482 0.7581 0.6965
Tb 0.6518 0.2419 0.3035
As 0.3477 0.3819 0.6955
As 0.6523 0.6181 0.3045
CELL_PARAMETERS angstrom
-2.8585 0.4845 -2.5480
1.4090 -7.1997 -2.9496
-2.8827 2.3607 6.6063
```

Here is Pu2AgSe after structural relaxation from Alexandria. Energies are from PBE. Values from VASP.

Output
The energy is -9.32 eV per atom. Its uncorrected formation energy is -0.574 eV/atom. Its space-group type is P4/mmm. For the energy above the lowest structure with this stoichiometry, the calculation gives 0.000 eV/atom.

The structure in Quantum ESPRESSO input format:
```
&SYSTEM
  ibrav = 0, nat = 4, ntyp = 3
/
ATOMIC_SPECIES
Ag 107.87 Ag.upf
Se 78.96 Se.upf
Pu 244.00 Pu.upf
ATOMIC_POSITIONS crystal
Ag 0.5000 0.5000 0.5000
Se 0.5000 0.5000 0.0000
Pu 0.0000 0.0000 0.2315
Pu 0.0000 0.0000 0.7685
CELL_PARAMETERS angstrom
-1.3177 -3.2798 -0.2096
3.1735 -1.3286 0.8372
-1.8359 0.2659 7.3812
```

Number 1: density of states at the Fermi level 1.719 states/eV per atom. Number 2: density of states at the Fermi level 0.227 states/eV per atom. Number 3: density of states at the Fermi level 1.137 states/eV per atom. Number 4: density of states at the Fermi level 0.886 states/eV per atom. Number 5: density of states at the Fermi level 1.196 states/eV per atom. Number 6: density of states at the Fermi level 0.323 states/eV per atom. Number 7: density of states at the Fermi level 0.421 states/eV per atom. Number 8: density of states at the Fermi level 3.857 states/eV per atom.